(1)
# CeHoNiS3 | the Alexandria database | GGA-PBE | relaxed
# Symmetry: P2_1/m
# Formation energy from raw total energies in meV/atom: -1681
data_CeHoNiS3
_chemical_formula_sum 'Ce2 Ho2 Ni2 S6'
_space_group_name_H-M_alt 'P 1'
_space_group_IT_number 1
_space_group_name_Hall 'P 1'
_cell_length_a 3.794
_cell_length_b 8.021
_cell_length_c 8.285
_cell_angle_alpha 101.81
_cell_angle_beta 90.00
_cell_angle_gamma 90.00
loop_
_atom_site_label
_atom_site_type_symbol
_atom_site_fract_x
_atom_site_fract_y
_atom_site_fract_z
Ce1 Ce 0.250 0.169 0.238
Ce2 Ce 0.750 0.831 0.762
Ho1 Ho 0.250 0.668 0.176
Ho2 Ho 0.750 0.332 0.824
Ni1 Ni 0.250 0.090 0.591
Ni2 Ni 0.750 0.910 0.409
S1 S 0.750 0.899 0.135
S2 S 0.250 0.101 0.865
S3 S 0.250 0.790 0.499
S4 S 0.750 0.210 0.501
S5 S 0.750 0.420 0.167
S6 S 0.250 0.580 0.833

---

(2)
# CeHoSi2Ni2 | the Alexandria database | GGA-PBE | relaxed
# Symmetry: P-3m1
# Formation energy from raw total energies in meV/atom: -770
data_CeHoSi2Ni2
_chemical_formula_sum 'Ce1 Ho1 Si2 Ni2'
_space_group_name_H-M_alt 'P 1'
_space_group_IT_number 1
_space_group_name_Hall 'P 1'
_cell_length_a 4.048
_cell_length_b 4.048
_cell_length_c 7.745
_cell_angle_alpha 90.00
_cell_angle_beta 90.00
_cell_angle_gamma 120.00
loop_
_atom_site_label
_atom_site_type_symbol
_atom_site_fract_x
_atom_site_fract_y
_atom_site_fract_z
Ce1 Ce 0.000 0.000 0.000
Ho1 Ho 0.000 0.000 0.500
Si1 Si 0.667 0.333 0.746
Si2 Si 0.333 0.667 0.254
Ni1 Ni 0.667 0.333 0.259
Ni2 Ni 0.333 0.667 0.741

---

(3)
# Ce2HoSi2Ni2 | the Alexandria database | GGA-PBE | relaxed
# Symmetry: R-3m
# Formation energy from raw total energies in meV/atom: -673
data_Ce2HoSi2Ni2
_chemical_formula_sum 'Ce2 Ho1 Si2 Ni2'
_space_group_name_H-M_alt 'P 1'
_space_group_IT_number 1
_space_group_name_Hall 'P 1'
_cell_length_a 4.103
_cell_length_b 4.103
_cell_length_c 9.247
_cell_angle_alpha 77.18
_cell_angle_beta 77.18
_cell_angle_gamma 60.00
loop_
_atom_site_label
_atom_site_type_symbol
_atom_site_fract_x
_atom_site_fract_y
_atom_site_fract_z
Ce1 Ce 0.136 0.136 0.591
Ce2 Ce 0.864 0.864 0.409
Ho1 Ho 0.000 0.000 0.000
Si1 Si 0.737 0.737 0.790
Si2 Si 0.263 0.263 0.210
Ni1 Ni 0.597 0.597 0.210
Ni2 Ni 0.403 0.403 0.790

---

(4)
# CeHoTcNi | the Alexandria database | GGA-PBE | relaxed
# Symmetry: F-43m
# DFT formation energy in kJ/mol of formula units: -64
data_CeHoTcNi
_chemical_formula_sum 'Ce1 Ho1 Tc1 Ni1'
_space_group_name_H-M_alt 'P 1'
_space_group_IT_number 1
_space_group_name_Hall 'P 1'
_cell_length_a 4.824
_cell_length_b 4.824
_cell_length_c 4.824
_cell_angle_alpha 60.00
_cell_angle_beta 60.00
_cell_angle_gamma 60.00
loop_
_atom_site_label
_atom_site_type_symbol
_atom_site_fract_x
_atom_site_fract_y
_atom_site_fract_z
Ni1 Ni 0.250 0.250 0.250
Ho1 Ho 0.000 0.000 0.000
Ce1 Ce 0.500 0.500 0.500
Tc1 Tc 0.750 0.750 0.750

---

(5)
# CeHoZnNi | the Alexandria database | GGA-PBE | relaxed
# Symmetry: F-43m
# DFT formation energy in kJ/mol of formula units: -98
data_CeHoZnNi
_chemical_formula_sum 'Ce1 Ho1 Zn1 Ni1'
_space_group_name_H-M_alt 'P 1'
_space_group_IT_number 1
_space_group_name_Hall 'P 1'
_cell_length_a 4.941
_cell_length_b 4.941
_cell_length_c 4.941
_cell_angle_alpha 60.00
_cell_angle_beta 60.00
_cell_angle_gamma 60.00
loop_
_atom_site_label
_atom_site_type_symbol
_atom_site_fract_x
_atom_site_fract_y
_atom_site_fract_z
Ni1 Ni 0.250 0.250 0.250
Zn1 Zn 0.750 0.750 0.750
Ho1 Ho 0.000 0.000 0.000
Ce1 Ce 0.500 0.500 0.500

---

(6)
# CeHo2NpO8 | the Alexandria database | GGA-PBE | relaxed
# Symmetry: P2/m
# Formation energy from raw total energies in meV/atom: -3310
data_CeHo2NpO8
_chemical_formula_sum 'Ce1 Ho2 Np1 O8'
_space_group_name_H-M_alt 'P 1'
_space_group_IT_number 1
_space_group_name_Hall 'P 1'
_cell_length_a 3.811
_cell_length_b 5.348
_cell_length_c 7.528
_cell_angle_alpha 90.01
_cell_angle_beta 90.00
_cell_angle_gamma 90.10
loop_
_atom_site_label
_atom_site_type_symbol
_atom_site_fract_x
_atom_site_fract_y
_atom_site_fract_z
Ce1 Ce 0.000 0.000 0.500
Ho1 Ho 0.500 0.500 0.751
Ho2 Ho 0.500 0.500 0.249
Np1 Np 0.000 0.000 0.000
O1 O 0.001 0.759 0.231
O2 O 0.501 0.769 0.000
O3 O 0.999 0.241 0.230
O4 O 0.999 0.241 0.769
O5 O 0.499 0.231 0.000
O6 O 0.001 0.759 0.770
O7 O 0.501 0.750 0.500
O8 O 0.499 0.250 0.500

---

(7)
# CeHoNp2P4 | the Alexandria database | GGA-PBE | relaxed
# Symmetry: P2/m
# DFT formation energy in kJ/mol of formula units: -930
data_CeHoNp2P4
_chemical_formula_sum 'Ce1 Ho1 Np2 P4'
_space_group_name_H-M_alt 'P 1'
_space_group_IT_number 1
_space_group_name_Hall 'P 1'
_cell_length_a 3.999
_cell_length_b 6.931
_cell_length_c 6.922
_cell_angle_alpha 109.47
_cell_angle_beta 90.00
_cell_angle_gamma 90.00
loop_
_atom_site_label
_atom_site_type_symbol
_atom_site_fract_x
_atom_site_fract_y
_atom_site_fract_z
Ce1 Ce 0.000 0.000 0.000
Ho1 Ho 0.500 0.500 0.000
Np1 Np 0.500 0.000 0.500
Np2 Np 0.000 0.500 0.500
P1 P 0.500 0.256 0.258
P2 P 0.500 0.744 0.742
P3 P 0.000 0.251 0.743
P4 P 0.000 0.749 0.257

---

(8)
# Ce2HoNpP4 | the Alexandria database | GGA-PBE | relaxed
# Symmetry: P2/m
# DFT formation energy in kJ/mol of formula units: -1055
data_Ce2HoNpP4
_chemical_formula_sum 'Ce2 Ho1 Np1 P4'
_space_group_name_H-M_alt 'P 1'
_space_group_IT_number 1
_space_group_name_Hall 'P 1'
_cell_length_a 4.032
_cell_length_b 6.983
_cell_length_c 6.971
_cell_angle_alpha 109.48
_cell_angle_beta 90.00
_cell_angle_gamma 90.00
loop_
_atom_site_label
_atom_site_type_symbol
_atom_site_fract_x
_atom_site_fract_y
_atom_site_fract_z
Ce1 Ce 0.500 0.000 0.500
Ce2 Ce 0.000 0.500 0.500
Ho1 Ho 0.500 0.500 0.000
Np1 Np 0.000 0.000 0.000
P1 P 0.500 0.245 0.241
P2 P 0.500 0.755 0.759
P3 P 0.000 0.250 0.757
P4 P 0.000 0.750 0.243

---

| no. | E_tot (eV/atom) |
| --- | --- |
| 1 | -6.461 |
| 2 | -6.256 |
| 3 | -6.224 |
| 4 | -6.831 |
| 5 | -4.647 |
| 6 | -8.951 |
| 7 | -8.459 |
| 8 | -7.745 |